This record from Alexandria via LeMat-Bulk describes crystalline Pr2TmSi2 at its relaxed geometry. The functional is PBE-GGA.

Properties
E_form (uncorrected): -0.630 eV per atom
volume: 26.20 A^3/atom
offset from the most stable computed form: 5.2 kJ/mol of atoms
magnetization: 0.00 μB/f.u.

Lattice parameters (Å, degrees): 12.473 4.376 10.791 90.00 117.17 90.00
Space group C2/m (No. 12)
Unique sites:
Pr  0.016  0.000  0.189 [4 per cell]
Pr  0.180  0.000  0.593 [4 per cell]
Tm  0.225  0.500  0.869 [4 per cell]
Si  0.008  0.500  0.393 [4 per cell]
Si  0.111  0.500  0.054 [4 per cell]

This record from Alexandria via LeMat-Bulk describes crystalline PrTmZnSi at its relaxed geometry. The functional is PBE-GGA.

Properties
E_form (uncorrected): -0.419 eV per atom
volume: 22.82 A^3/atom
magnetization: 0.00 μB/f.u.

Lattice parameters (Å, degrees): 7.147 7.147 7.147 90.00 90.00 90.00
Space group F-43m (No. 216)
Unique sites:
Pr  0.000  0.000  0.000 [4 per cell]
Tm  0.000  0.000  0.500 [4 per cell]
Zn  0.250  0.250  0.750 [4 per cell]
Si  0.250  0.250  0.250 [4 per cell]

This record from Alexandria via LeMat-Bulk describes crystalline PrTm2Zn2Si2 at its relaxed geometry. The functional is PBE-GGA.

Properties
E_form (uncorrected): -0.430 eV per atom
volume: 23.01 A^3/atom
magnetization: 0.00 μB/f.u.

Lattice parameters (Å, degrees): 4.0836 4.0836 33.4653 90.00 90.00 120.00
Space group R-3m (No. 166, hexagonal axes)
Unique sites:
Pr  0.0000  0.0000  0.0000 [3 per cell]
Tm  0.0000  0.0000  0.1239 [6 per cell]
Zn  0.0000  0.0000  0.3977 [6 per cell]
Si  0.0000  0.0000  0.2662 [6 per cell]

This record from Alexandria via LeMat-Bulk describes crystalline PrUSi2 at its relaxed geometry. The functional is PBE-GGA.

Properties
E_form (uncorrected): -0.156 eV per atom
volume: 24.03 A^3/atom
magnetization: 1.85 μB/f.u.

Lattice parameters (Å, degrees): 4.5893 4.5893 15.8110 90.00 90.00 120.00
Space group R-3m (No. 166, hexagonal axes)
Unique sites:
Pr  0.0000  0.0000  0.0000 [3 per cell]
U  0.0000  0.0000  0.5000 [3 per cell]
Si  0.0000  0.0000  0.2341 [6 per cell]